No. 1
This record from OQMD via LeMat-Bulk describes an optimized crystal structure of Rb2CoI4. The functional is PBE.

Values from the calculation:
symmetry: P2_1/m

Cell lengths 10.480, 8.174, 7.723 Å; angles 90.00, 109.59, 90.00 degrees
Site moments in Bohr magnetons follow the coordinates.
Atoms (fractional coordinates):
Co 0.214 0.250 0.303  2.27
Co 0.786 0.750 0.697  2.27
I 0.046 0.750 0.861  0.08
I 0.722 0.499 0.482  0.10
I 0.278 0.999 0.518  0.10
I 0.722 0.001 0.482  0.10
I 0.355 0.250 0.085  0.09
I 0.278 0.501 0.518  0.10
I 0.954 0.250 0.139  0.08
I 0.645 0.750 0.915  0.09
Rb 0.587 0.250 0.801  0.00
Rb 0.963 0.750 0.302  0.00
Rb 0.413 0.750 0.199  0.00
Rb 0.037 0.250 0.698  0.00

No. 2
This record from OQMD via LeMat-Bulk describes an optimized crystal structure of CoSiI. The functional is PBE.

Values from the calculation:
symmetry: P-6m2

Cell lengths 4.476, 4.476, 9.639 Å; angles 90.00, 90.00, 120.00 degrees
Site moments in Bohr magnetons follow the coordinates.
Atoms (fractional coordinates):
I 0.333 0.667 0.321  0.00
I 0.333 0.667 0.679  0.00
I 0.667 0.333 0.000  0.00
Si 0.000 0.000 0.163  -0.01
Si 0.000 0.000 0.500  -0.01
Si 0.000 0.000 0.837  -0.01
Co 0.333 0.667 0.000  -0.08
Co 0.667 0.333 0.722  0.17
Co 0.667 0.333 0.278  0.17

No. 3
This record from OQMD via LeMat-Bulk describes an optimized crystal structure of Sm2Co2I. The functional is PBE.

Values from the calculation:
symmetry: P-6m2

Cell lengths 3.974, 3.974, 8.651 Å; angles 90.00, 90.00, 120.00 degrees
Site moments in Bohr magnetons follow the coordinates.
Atoms (fractional coordinates):
I 0.333 0.667 0.000  0.00
Sm 0.667 0.333 0.290  -0.01
Sm 0.667 0.333 0.710  -0.01
Co 0.000 0.000 0.500  0.07
Co 0.333 0.667 0.500  0.08

No. 4
This record from OQMD via LeMat-Bulk describes an optimized crystal structure of Tb2Co2I. The functional is PBE.

Values from the calculation:
symmetry: P6_3/mmc

Cell lengths 3.946, 3.946, 16.948 Å; angles 90.00, 90.00, 120.00 degrees
Site moments in Bohr magnetons follow the coordinates.
Atoms (fractional coordinates):
Tb 0.000 0.000 0.396  0.02
Tb 0.000 0.000 0.104  0.02
Tb 0.000 0.000 0.896  0.02
Tb 0.000 0.000 0.604  0.02
I 0.333 0.667 0.750  0.00
I 0.667 0.333 0.250  0.00
Co 0.667 0.333 0.502  -0.09
Co 0.333 0.667 0.002  -0.09
Co 0.333 0.667 0.498  -0.09
Co 0.667 0.333 0.998  -0.09

No. 5
This record from OQMD via LeMat-Bulk describes an optimized crystal structure of TbTmCo2I2. The functional is PBE.

Values from the calculation:
symmetry: P3m1

Cell lengths 3.970, 3.970, 12.199 Å; angles 90.00, 90.00, 120.00 degrees
Site moments in Bohr magnetons follow the coordinates.
Atoms (fractional coordinates):
Co 0.333 0.667 0.000  0.31
Co 0.667 0.333 0.006  0.31
I 0.333 0.667 0.322  0.00
I 0.667 0.333 0.673  0.00
Tb 0.000 0.000 0.851  -0.06
Tm 0.000 0.000 0.148  -0.07

No. 6
This record from OQMD via LeMat-Bulk describes an optimized crystal structure of CoTeI. The functional is PBE.

Values from the calculation:
symmetry: Pmmn

Cell lengths 3.801, 5.060, 9.078 Å; angles 90.00, 90.01, 90.00 degrees
Atoms (fractional coordinates):
Te 0.250 0.750 0.944
Te 0.750 0.250 0.056
Co 0.750 0.750 0.128
Co 0.250 0.250 0.872
I 0.750 0.250 0.676
I 0.250 0.750 0.324

No. 7
This record from OQMD via LeMat-Bulk describes an optimized crystal structure of CoTeI. The functional is PBE.

Values from the calculation:
symmetry: P2_1/c

Cell lengths 7.740, 6.642, 7.093 Å; angles 90.00, 104.28, 90.00 degrees
Atoms (fractional coordinates):
Co 0.369 0.823 0.108
Co 0.631 0.323 0.392
Co 0.369 0.677 0.608
Co 0.631 0.177 0.892
Te 0.587 0.807 0.904
Te 0.587 0.693 0.404
Te 0.413 0.307 0.596
Te 0.413 0.193 0.096
I 0.853 0.149 0.664
I 0.853 0.351 0.164
I 0.147 0.851 0.336
I 0.147 0.649 0.836

No. 8
This record from OQMD via LeMat-Bulk describes an optimized crystal structure of Tl2CoI6. The functional is PBE.

Values from the calculation:
symmetry: P2_1/c

Cell lengths 7.644, 7.967, 13.282 Å; angles 90.00, 124.03, 90.00 degrees
Site moments in Bohr magnetons follow the coordinates.
Atoms (fractional coordinates):
Tl 0.719 0.417 0.248  0.01
Tl 0.281 0.917 0.252  0.01
Tl 0.719 0.083 0.748  0.01
Tl 0.281 0.583 0.752  0.01
I 0.153 0.998 0.732  0.02
I 0.682 0.182 0.463  0.02
I 0.318 0.682 0.037  0.01
I 0.785 0.724 0.466  0.01
I 0.215 0.224 0.034  0.01
I 0.847 0.002 0.268  0.02
I 0.215 0.276 0.534  0.01
I 0.847 0.498 0.768  0.02
I 0.153 0.502 0.232  0.02
I 0.785 0.776 0.966  0.01
I 0.682 0.318 0.963  0.01
I 0.318 0.818 0.537  0.02
Co 0.000 0.500 0.000  0.23
Co 0.000 0.000 0.500  0.24

Result set for final energy: -42.8, -33.4, -28.1, -56.0, -31.2, -24.5, -47.6, -47.0 eV/cell, one per record in the order listed.
Result set for size of the total moment: 3.0, 0.1, 0.1, 0.1, 0.4, 0.0, 0.0, 0.4 μB/f.u., one per record in the order listed.